# 1
Here is an optimized crystal structure of Be2Pd2Pb from Alexandria via LeMat-Bulk. Energies are from PBE.

a = 7.1106 Å, b = 7.1106 Å, c = 2.9998 Å
α = 90.00°, β = 90.00°, γ = 90.00°
Atoms (fractional coordinates):
Pd 0.8570 0.6430 0.0000
Pb 0.0000 0.0000 0.0000
Be 0.1277 0.6277 0.5000
Pd 0.6430 0.1430 0.0000
Pd 0.1430 0.3570 0.0000
Be 0.3723 0.1277 0.5000
Pd 0.3570 0.8570 0.0000
Be 0.6277 0.8723 0.5000
Pb 0.5000 0.5000 0.0000
Be 0.8723 0.3723 0.5000

Energy above the lowest structure with this stoichiometry   0.38 eV/f.u.
Energy relative to the elements   -0.58 eV per formula unit

***

# 2
Here is an optimized crystal structure of KHgPb2 from Alexandria via LeMat-Bulk. Energies are from PBE.

a = 5.6866 Å, b = 5.6866 Å, c = 5.6866 Å
α = 121.75°, β = 121.75°, γ = 87.00°
Atoms (fractional coordinates):
Hg 0.5000 0.5000 0.0000
Pb 0.2500 0.7500 0.5000
Pb 0.0000 0.0000 0.0000
K 0.7500 0.2500 0.5000

Energy relative to the elements   -0.34 eV per formula unit

***

# 3
Here is an optimized crystal structure of YZrCu2S from Alexandria via LeMat-Bulk. Energies are from PBE.

a = 4.4722 Å, b = 5.0686 Å, c = 4.4722 Å
α = 90.00°, β = 90.00°, γ = 90.00°
Atoms (fractional coordinates):
Cu 0.0000 0.0000 0.5000
Cu 0.5000 0.0000 0.0000
S 0.0000 0.0000 0.0000
Zr 0.5000 0.5000 0.5000
Y 0.0000 0.5000 0.0000

E_form (uncorrected)   0.13 eV/atom

***

# 4
Here is an optimized crystal structure of Pr5WN6 from Alexandria via LeMat-Bulk. Energies are from PBE.

a = 6.1328 Å, b = 6.1594 Å, c = 6.1514 Å
α = 59.96°, β = 80.48°, γ = 70.72°
Atoms (fractional coordinates):
N 0.2280 0.2166 0.0000
N 0.7857 0.0717 0.2867
Pr 0.5000 0.8354 0.3292
Pr 0.0000 0.6666 0.6667
W 0.0000 0.0000 0.0000
N 0.7720 0.7834 0.0000
N 0.2143 0.6416 0.2867
N 0.7857 0.3584 0.7133
Pr 0.5000 0.1646 0.6708
Pr 0.0000 0.3334 0.3333
Pr 0.5000 0.5000 0.0000
N 0.2143 0.9283 0.7133

E_form (uncorrected)   -1.04 eV/atom

***

# 5
Here is an optimized crystal structure of LiAgRu2 from Alexandria via LeMat-Bulk. Energies are from PBE.

a = 2.7163 Å, b = 4.5460 Å, c = 5.6676 Å
α = 56.71°, β = 90.00°, γ = 90.00°
Last column: magnetic moment on the atom in μB.
Atoms (fractional coordinates):
Ag 0.5000 0.5000 0.5000  0.01
Li 0.0000 0.0000 0.5000  -0.01
Ru 0.5000 0.5000 0.0000  0.34
Ru 0.0000 0.0000 0.0000  0.35

Energy above the lowest structure with this stoichiometry   0.56 eV/f.u.
Energy relative to the elements   1.25 eV per formula unit

***

# 6
Here is an optimized crystal structure of PmDySe from Alexandria via LeMat-Bulk. Energies are from PBE.

a = 7.5816 Å, b = 10.9040 Å, c = 6.9335 Å
α = 141.84°, β = 90.00°, γ = 90.00°
Atoms (fractional coordinates):
Pm 0.5000 0.2991 0.5983
Se 0.6951 0.0648 0.0000
Pm 0.0000 0.7991 0.5983
Dy 0.1649 0.7011 0.0000
Se 0.1951 0.4352 0.0000
Pm 0.0000 0.2009 0.4017
Dy 0.6649 0.7989 0.0000
Se 0.8049 0.5648 0.0000
Pm 0.5000 0.7009 0.4017
Se 0.3049 0.9352 0.0000
Dy 0.8351 0.2989 0.0000
Dy 0.3351 0.2011 0.0000

Energy above the lowest structure with this stoichiometry   0.32 eV/f.u.
E_form (uncorrected)   -1.00 eV/atom

***

# 7
Here is an optimized crystal structure of CoIrCl2 from Alexandria via LeMat-Bulk. Energies are from PBE.

a = 2.9533 Å, b = 3.0702 Å, c = 8.6720 Å
α = 90.51°, β = 90.00°, γ = 90.00°
Last column: magnetic moment on the atom in μB.
Atoms (fractional coordinates):
Cl 0.0000 0.8831 0.9243  0.06
Ir 0.5000 0.8762 0.7071  0.80
Co 0.0000 0.3718 0.5335  2.15
Cl 0.5000 0.3689 0.3352  0.17

Energy above the lowest structure with this stoichiometry   0.15 eV/f.u.
E_form (uncorrected)   0.12 eV/atom

***

# 8
Here is an optimized crystal structure of PRh3I from Alexandria via LeMat-Bulk. Energies are from PBE.

a = 4.8182 Å, b = 4.8182 Å, c = 4.8182 Å
α = 90.00°, β = 90.00°, γ = 90.00°
Atoms (fractional coordinates):
P 0.5000 0.5000 0.5000
Rh 0.5000 0.0000 0.0000
I 0.0000 0.0000 0.0000
Rh 0.0000 0.5000 0.0000
Rh 0.0000 0.0000 0.5000

Energy above the lowest structure with this stoichiometry   6.06 eV/f.u.
E_form (uncorrected)   1.42 eV/atom

***

# 9
Here is an optimized crystal structure of Er2TlCl from Alexandria via LeMat-Bulk. Energies are from PBE.

a = 4.7109 Å, b = 4.7109 Å, c = 8.3352 Å
α = 73.59°, β = 73.59°, γ = 60.00°
Atoms (fractional coordinates):
Er 0.1109 0.1109 0.6673
Tl 0.5000 0.5000 0.5000
Cl 0.0000 0.0000 0.0000
Er 0.8891 0.8891 0.3327

E_form (uncorrected)   -0.67 eV/atom

***

# 10
Here is an optimized crystal structure of PRhPb from Alexandria via LeMat-Bulk. Energies are from PBE.

a = 4.4234 Å, b = 4.4234 Å, c = 4.4234 Å
α = 60.00°, β = 60.00°, γ = 60.00°
Atoms (fractional coordinates):
Rh 0.2500 0.2500 0.2500
P 0.0000 0.0000 0.0000
Pb 0.5000 0.5000 0.5000

Energy relative to the elements   0.19 eV per formula unit

***

# 11
Here is an optimized crystal structure of ScZnPd from Alexandria via LeMat-Bulk. Energies are from PBE.

a = 6.2534 Å, b = 6.2536 Å, c = 5.4091 Å
α = 64.54°, β = 64.53°, γ = 35.12°
Atoms (fractional coordinates):
Pd 0.0470 0.0041 0.0291
Sc 0.1100 0.0683 0.4654
Zn 0.4205 0.3778 0.8966
Sc 0.7302 0.6872 0.8455
Pd 0.7933 0.7514 0.2817
Zn 0.4198 0.3776 0.4142

Energy relative to the elements   -1.74 eV per formula unit

***

# 12
Here is an optimized crystal structure of TbAu3 from Alexandria via LeMat-Bulk. Energies are from PBE.

a = 5.0213 Å, b = 5.1509 Å, c = 6.3193 Å
α = 90.00°, β = 90.00°, γ = 90.00°
Atoms (fractional coordinates):
Au 0.5000 0.1655 0.7557
Tb 0.5000 0.6588 0.5000
Au 0.5000 0.6735 0.0000
Au 0.0000 0.8345 0.7443
Au 0.0000 0.8345 0.2557
Au 0.5000 0.1655 0.2443
Au 0.0000 0.3265 0.5000
Tb 0.0000 0.3412 0.0000

Energy relative to the elements   -2.87 eV per formula unit

***

# 13
Here is an optimized crystal structure of TbTm3Ag4 from Alexandria via LeMat-Bulk. Energies are from PBE.

a = 3.5660 Å, b = 5.1261 Å, c = 10.2443 Å
α = 90.00°, β = 90.00°, γ = 90.00°
Atoms (fractional coordinates):
Tm 0.5000 0.0000 0.7488
Tb 0.5000 0.5000 0.0000
Tm 0.5000 0.0000 0.2512
Ag 0.0000 0.5000 0.7455
Tm 0.5000 0.5000 0.5000
Ag 0.0000 0.0000 0.5000
Ag 0.0000 0.0000 0.0000
Ag 0.0000 0.5000 0.2545

Energy relative to the elements   -2.65 eV per formula unit

***

# 14
Here is an optimized crystal structure of Dy5CSe5 from Alexandria via LeMat-Bulk. Energies are from PBE.

a = 5.6589 Å, b = 6.9556 Å, c = 7.9296 Å
α = 107.13°, β = 90.00°, γ = 114.00°
Atoms (fractional coordinates):
C 0.0000 0.0000 0.0000
Dy 0.8527 0.7053 0.1532
Dy 0.1494 0.2989 0.3042
Se 0.3238 0.6475 0.6675
Dy 0.1473 0.2947 0.8468
Se 0.6650 0.3299 0.8274
Dy 0.5000 0.0000 0.0000
Se 0.3350 0.6701 0.1726
Se 0.0000 0.0000 0.5000
Se 0.6762 0.3525 0.3325
Dy 0.8506 0.7011 0.6958

E_form (uncorrected)   -1.60 eV/atom

***

# 15
Here is an optimized crystal structure of Ce3CoBr3 from Alexandria via LeMat-Bulk. Energies are from PBE.

a = 4.2195 Å, b = 8.6721 Å, c = 11.3453 Å
α = 91.90°, β = 90.00°, γ = 90.00°
Last column: magnetic moment on the atom in μB.
Atoms (fractional coordinates):
Ce 0.2500 0.8784 0.1660  0.98
Br 0.2500 0.3811 0.3468  -0.01
Co 0.7500 0.1233 0.6219  -0.19
Ce 0.7500 0.1015 0.4009  0.79
Ce 0.7500 0.6549 0.3862  1.00
Br 0.2500 0.8750 0.8815  -0.01
Ce 0.7500 0.1216 0.8340  0.98
Co 0.2500 0.8767 0.3781  -0.19
Br 0.7500 0.6189 0.6532  -0.01
Ce 0.2500 0.8985 0.5991  0.79
Ce 0.2500 0.3451 0.6138  1.00
Br 0.2500 0.3662 0.8797  -0.01
Br 0.7500 0.1250 0.1185  -0.01
Br 0.7500 0.6338 0.1203  -0.01

E_form (uncorrected)   -1.12 eV/atom

***

# 16
Here is an optimized crystal structure of Ac2B3Rh6 from Alexandria via LeMat-Bulk. Energies are from PBE.

a = 4.0718 Å, b = 7.3852 Å, c = 7.3852 Å
α = 120.00°, β = 90.00°, γ = 90.00°
Atoms (fractional coordinates):
B 0.5000 0.6868 0.0000
Ac 0.0000 0.6667 0.3333
Rh 0.5000 0.7407 0.7407
Rh 0.0000 0.2254 0.2254
Rh 0.0000 0.0000 0.7746
B 0.5000 0.3132 0.3132
Rh 0.5000 0.2593 0.0000
Ac 0.0000 0.3333 0.6667
Rh 0.5000 0.0000 0.2593
Rh 0.0000 0.7746 0.0000
B 0.5000 0.0000 0.6868

Energy relative to the elements   -2.67 eV per formula unit

***

# 17
Here is an optimized crystal structure of Tl2SbSe from Alexandria via LeMat-Bulk. Energies are from PBE.

a = 5.4268 Å, b = 5.4268 Å, c = 5.4268 Å
α = 60.00°, β = 60.00°, γ = 60.00°
Atoms (fractional coordinates):
Sb 0.5000 0.5000 0.5000
Tl 0.0000 0.0000 0.0000
Tl 0.2500 0.2500 0.2500
Se 0.7500 0.7500 0.7500

Energy above the lowest structure with this stoichiometry   0.73 eV/f.u.
E_form (uncorrected)   0.09 eV/atom

***

# 18
Here is an optimized crystal structure of LaHfIr3 from Alexandria via LeMat-Bulk. Energies are from PBE.

a = 4.8858 Å, b = 4.8858 Å, c = 4.8858 Å
α = 90.00°, β = 90.00°, γ = 90.00°
Atoms (fractional coordinates):
Ir 0.0000 0.5000 0.0000
La 0.5000 0.5000 0.5000
Hf 0.0000 0.0000 0.0000
Ir 0.0000 0.0000 0.5000
Ir 0.5000 0.0000 0.0000

Energy relative to the elements   1.38 eV per formula unit

***

# 19
Here is an optimized crystal structure of K2CoNi from Alexandria via LeMat-Bulk. Energies are from PBE.

a = 5.1335 Å, b = 5.1335 Å, c = 5.1335 Å
α = 119.91°, β = 119.91°, γ = 90.15°
Last column: magnetic moment on the atom in μB.
Atoms (fractional coordinates):
K 0.2500 0.7500 0.5000  -0.01
Co 0.7500 0.2500 0.5000  1.96
Ni 0.5000 0.5000 0.0000  0.69
K 0.0000 0.0000 0.0000  -0.01

Energy above the lowest structure with this stoichiometry   2.25 eV/f.u.
Energy relative to the elements   4.38 eV per formula unit

***

# 20
Here is an optimized crystal structure of LaNp2UAs4 from Alexandria via LeMat-Bulk. Energies are from PBE.

a = 5.8973 Å, b = 5.8973 Å, c = 7.2173 Å
α = 114.13°, β = 114.13°, γ = 89.96°
Last column: magnetic moment on the atom in μB.
Atoms (fractional coordinates):
Np 0.0000 0.0000 0.0000  -3.70
U 0.7500 0.2500 0.5000  -2.19
Np 0.2500 0.7500 0.5000  3.76
As 0.7568 0.7568 0.5136  0.01
La 0.5000 0.5000 0.0000  0.00
As 0.9972 0.4972 0.9944  0.04
As 0.2432 0.2432 0.4864  0.01
As 0.5028 0.0028 0.0055  0.04

Energy relative to the elements   -6.77 eV per formula unit

***

# 21
Here is an optimized crystal structure of SrGd2P from Alexandria via LeMat-Bulk. Energies are from PBE.

a = 3.9297 Å, b = 3.9297 Å, c = 10.7212 Å
α = 79.44°, β = 79.44°, γ = 60.00°
Last column: magnetic moment on the atom in μB.
Atoms (fractional coordinates):
P 0.5000 0.5000 0.5000  -0.06
Gd 0.1169 0.1169 0.6493  7.14
Sr 0.0000 0.0000 0.0000  0.00
Gd 0.8831 0.8831 0.3507  7.14

Energy relative to the elements   -2.47 eV per formula unit

***

# 22
Here is an optimized crystal structure of CrHgIr2 from Alexandria via LeMat-Bulk. Energies are from PBE.

a = 2.7638 Å, b = 2.7638 Å, c = 9.4271 Å
α = 90.00°, β = 90.00°, γ = 119.21°
Atoms (fractional coordinates):
Cr 0.0000 0.0000 0.4813
Hg 0.5000 0.5000 0.7437
Ir 0.0000 0.0000 0.0122
Ir 0.5000 0.5000 0.2628

Energy relative to the elements   2.18 eV per formula unit

***

# 23
Here is an optimized crystal structure of IrCl from Alexandria via LeMat-Bulk. Energies are from PBE.

a = 4.4316 Å, b = 8.7182 Å, c = 9.3334 Å
α = 90.00°, β = 90.00°, γ = 90.00°
Atoms (fractional coordinates):
Cl 0.5000 0.1752 0.2310
Ir 0.0000 0.5549 0.7449
Ir 0.5000 0.4451 0.7551
Cl 0.0000 0.8248 0.7310
Cl 0.5000 0.5892 0.5000
Cl 0.0000 0.8248 0.2690
Ir 0.0000 0.5549 0.2551
Ir 0.5000 0.3245 0.0000
Ir 0.0000 0.6755 0.5000
Cl 0.5000 0.1752 0.7690
Ir 0.5000 0.4451 0.2449
Cl 0.0000 0.4108 0.0000

Energy above the lowest structure with this stoichiometry   0.62 eV/f.u.
E_form (uncorrected)   0.45 eV/atom

***

# 24
Here is an optimized crystal structure of LaTcSn2 from Alexandria via LeMat-Bulk. Energies are from PBE.

a = 5.0726 Å, b = 5.0726 Å, c = 9.7990 Å
α = 75.00°, β = 75.00°, γ = 90.00°
Atoms (fractional coordinates):
Sn 0.8750 0.7481 0.7500
Tc 0.2500 0.7500 0.5000
Tc 0.5000 0.5000 0.0000
Sn 0.3750 0.5019 0.7500
La 0.7500 0.2500 0.5000
La 0.0000 0.0000 0.0000
Sn 0.4981 0.1250 0.2500
Sn 0.2519 0.6250 0.2500

Energy above the lowest structure with this stoichiometry   1.23 eV/f.u.
Energy relative to the elements   0.76 eV per formula unit

***

# 25
Here is an optimized crystal structure of SrMnW2 from Alexandria via LeMat-Bulk. Energies are from PBE.

a = 5.7694 Å, b = 5.7694 Å, c = 2.7276 Å
α = 90.00°, β = 90.00°, γ = 123.10°
Last column: magnetic moment on the atom in μB.
Atoms (fractional coordinates):
Mn 0.5000 0.0000 0.5000  3.36
W 0.5000 0.5000 0.0000  -0.10
W 0.0000 0.0000 0.0000  -0.10
Sr 0.0000 0.5000 0.5000  -0.02

Energy above the lowest structure with this stoichiometry   1.67 eV/f.u.
Energy relative to the elements   4.83 eV per formula unit

***

# 26
Here is an optimized crystal structure of YTlS2 from Alexandria via LeMat-Bulk. Energies are from PBE.

a = 7.2702 Å, b = 7.2702 Å, c = 7.2723 Å
α = 60.01°, β = 60.01°, γ = 90.00°
Atoms (fractional coordinates):
S 0.3750 0.4381 0.7500
Y 0.5000 0.5000 0.0000
Y 0.2500 0.7500 0.5000
Tl 0.7500 0.2500 0.5000
S 0.8750 0.8119 0.7500
S 0.5619 0.1250 0.2500
S 0.1881 0.6250 0.2500
Tl 0.0000 0.0000 0.0000

E_form (uncorrected)   -1.26 eV/atom

***

no.,DFT total energy (eV/atom)
1,-4.425
2,-2.290
3,-5.340
4,-8.278
5,-5.516
6,-5.283
7,-4.791
8,-4.381
9,-4.000
10,-5.425
11,-4.846
12,-4.333
13,-4.013
14,-6.110
15,-5.392
16,-6.821
17,-3.000
18,-8.017
19,-2.677
20,-8.433
21,-9.432
22,-6.366
23,-4.907
24,-5.634
25,-7.981
26,-5.529